No. 1
# AcPtPb (PBE, optimized geometry)
# DFT total energy ... -5.399 eV per atom
# Polymorph energy (0 for the lowest one) ... 43 meV per atom
# Energy of formation ... -0.780 eV per atom
data_AcPtPb
_cell_length_a 12.8141
_cell_length_b 4.6866
_cell_length_c 5.8271
_cell_angle_alpha 90.00
_cell_angle_beta 98.75
_cell_angle_gamma 90.00
_symmetry_space_group_name_H-M 'C 1 2/m 1'
_symmetry_Int_Tables_number 12
_symmetry_space_group_name_Hall '-C 2y'
loop_
_atom_site_label
_atom_site_type_symbol
_atom_site_fract_x
_atom_site_fract_y
_atom_site_fract_z
Ac1 Ac 0.1331 0.0000 0.3104
Pt1 Pt 0.2237 0.0000 0.8295
Pb1 Pb 0.0875 0.5000 0.8030

No. 2
# Ac3Pt4Pb4 (PBE, optimized geometry)
# DFT total energy ... -5.372 eV per atom
# Energy of formation ... -0.707 eV per atom
data_Ac3Pt4Pb4
_cell_length_a 4.4174
_cell_length_b 8.1696
_cell_length_c 16.1825
_cell_angle_alpha 90.00
_cell_angle_beta 90.00
_cell_angle_gamma 90.00
_symmetry_space_group_name_H-M 'I m m m'
_symmetry_Int_Tables_number 71
_symmetry_space_group_name_Hall '-I 2 2'
loop_
_atom_site_label
_atom_site_type_symbol
_atom_site_fract_x
_atom_site_fract_y
_atom_site_fract_z
Ac1 Ac 0.0000 0.0000 0.0000
Ac2 Ac 0.0000 0.5000 0.1162
Pt1 Pt 0.0000 0.0000 0.2222
Pt2 Pt 0.0000 0.1926 0.5000
Pb1 Pb 0.0000 0.3017 0.3292

No. 3
# AcPtRhPb (PBE, optimized geometry)
# DFT total energy ... -5.746 eV per atom
# Energy of formation ... -0.443 eV per atom
data_AcPtRhPb
_cell_length_a 7.1835
_cell_length_b 7.1835
_cell_length_c 7.1835
_cell_angle_alpha 90.00
_cell_angle_beta 90.00
_cell_angle_gamma 90.00
_symmetry_space_group_name_H-M 'F -4 3 m'
_symmetry_Int_Tables_number 216
_symmetry_space_group_name_Hall 'F -4 2 3'
loop_
_atom_site_label
_atom_site_type_symbol
_atom_site_fract_x
_atom_site_fract_y
_atom_site_fract_z
Ac1 Ac 0.0000 0.0000 0.0000
Pt1 Pt 0.2500 0.2500 0.2500
Rh1 Rh 0.2500 0.2500 0.7500
Pb1 Pb 0.0000 0.0000 0.5000

No. 4
# Ac4PtPbSe2 (PBE, optimized geometry)
# DFT total energy ... -5.437 eV per atom
# Energy relative to the elements, uncorrected ... -1.2926 eV per atom
data_Ac4PtPbSe2
_cell_length_a 7.9075
_cell_length_b 4.5453
_cell_length_c 8.0752
_cell_angle_alpha 90.00
_cell_angle_beta 108.93
_cell_angle_gamma 90.00
_symmetry_space_group_name_H-M 'P 1 2/m 1'
_symmetry_Int_Tables_number 10
_symmetry_space_group_name_Hall '-P 2y'
loop_
_atom_site_label
_atom_site_type_symbol
_atom_site_fract_x
_atom_site_fract_y
_atom_site_fract_z
Ac1 Ac 0.2311 0.0000 0.2380
Ac2 Ac 0.2369 0.5000 0.7467
Pt1 Pt 0.0000 0.5000 0.0000
Pb1 Pb 0.5000 0.0000 0.0000
Se1 Se 0.0000 0.0000 0.5000
Se2 Se 0.5000 0.5000 0.5000